A plane-wave DFT calculation with PBE was carried out for a relaxed Ta2CdSi crystal.

The structure in CIF format:
```
data_Ta2CdSi
_chemical_formula_sum 'Ta2 Cd1 Si1'
_space_group_name_H-M_alt 'P 1'
_space_group_IT_number 1
_space_group_name_Hall 'P 1'
_cell_length_a 4.645
_cell_length_b 4.645
_cell_length_c 4.645
_cell_angle_alpha 60.00
_cell_angle_beta 60.00
_cell_angle_gamma 60.00
loop_
_atom_site_label
_atom_site_type_symbol
_atom_site_fract_x
_atom_site_fract_y
_atom_site_fract_z
Ta1 Ta 0.000 0.000 0.000
Ta2 Ta 0.250 0.250 0.250
Cd1 Cd 0.500 0.500 0.500
Si1 Si 0.750 0.750 0.750
```

Formation energy without anion corrections = 0.515 eV per atom
Size of the total moment = 0.0 μB/f.u.
E_tot = -27.984 eV per cell
Space-group type = No. 216

---

A plane-wave DFT calculation with PBE was carried out for a relaxed NdPu2O6 crystal.

The structure in CIF format:
```
data_NdPu2O6
_chemical_formula_sum 'Nd1 Pu2 O6'
_space_group_name_H-M_alt 'P 1'
_space_group_IT_number 1
_space_group_name_Hall 'P 1'
_cell_length_a 3.870
_cell_length_b 3.870
_cell_length_c 9.271
_cell_angle_alpha 90.00
_cell_angle_beta 90.00
_cell_angle_gamma 120.00
loop_
_atom_site_label
_atom_site_type_symbol
_atom_site_fract_x
_atom_site_fract_y
_atom_site_fract_z
Nd1 Nd 0.000 0.000 0.000
Pu1 Pu 0.333 0.667 0.662
Pu2 Pu 0.667 0.333 0.338
O1 O 0.000 0.000 0.273
O2 O 0.000 0.000 0.727
O3 O 0.333 0.667 0.419
O4 O 0.333 0.667 0.896
O5 O 0.667 0.333 0.104
O6 O 0.667 0.333 0.581
```

Formation energy without anion corrections = -3.124 eV per atom
Size of the total moment = 7.0 μB/f.u.
E_tot = -91.298 eV per cell
Space-group type = No. 164